Record 1
# AgPd2Pb2, PBEsol geometry, DFT SCAN
# - Calculated total energy: -49.802 eV/atom
# - Theoretical density: 12.31 g/cm3
# - Formation energy from the elements: -0.107 eV/atom
data_AgPd2Pb2
_chemical_formula_sum 'Ag2 Pd4 Pb4'
_cell_length_a 7.350
_cell_length_b 7.350
_cell_length_c 3.669
_cell_angle_alpha 90.00
_cell_angle_beta 90.00
_cell_angle_gamma 90.00
_symmetry_space_group_name_H-M 'P 4/m b m'
_symmetry_Int_Tables_number 127
_symmetry_space_group_name_Hall '-P 4 2ab'
loop_
_atom_site_label
_atom_site_type_symbol
_atom_site_fract_x
_atom_site_fract_y
_atom_site_fract_z
Ag1 Ag 0.000 0.000 0.000
Pd1 Pd 0.136 0.364 0.000
Pb1 Pb 0.166 0.666 0.500

=====

Record 2
# SrLiY, PBEsol geometry, DFT SCAN
# - Calculated total energy: -16.601 eV/atom
# - Theoretical density: 2.57 g/cm3
# - Formation energy from the elements: 0.902 eV/atom
# - Energy above the most stable polymorph in this dataset: 728 meV per atom
data_SrLiY
_chemical_formula_sum 'Sr4 Li4 Y4'
_cell_length_a 7.798
_cell_length_b 7.798
_cell_length_c 7.798
_cell_angle_alpha 90.00
_cell_angle_beta 90.00
_cell_angle_gamma 90.00
_symmetry_space_group_name_H-M 'F -4 3 m'
_symmetry_Int_Tables_number 216
_symmetry_space_group_name_Hall 'F -4 2 3'
loop_
_atom_site_label
_atom_site_type_symbol
_atom_site_fract_x
_atom_site_fract_y
_atom_site_fract_z
Sr1 Sr 0.000 0.000 0.000
Li1 Li 0.000 0.000 0.500
Y1 Y 0.250 0.250 0.750

=====

Record 3
# Ti3Mn2CoP6O24, PBEsol geometry, DFT SCAN
# - Energy relative to the elements, uncorrected: -2.604 eV/atom
# - Calculated total energy: -11.322 eV/atom
# - Theoretical density: 3.32 g/cm3
data_Ti3Mn2CoP6O24
_chemical_formula_sum 'Ti9 Mn6 Co3 P18 O72'
_cell_length_a 8.5852
_cell_length_b 8.5852
_cell_length_c 20.7307
_cell_angle_alpha 90.00
_cell_angle_beta 90.00
_cell_angle_gamma 120.00
_symmetry_space_group_name_H-M 'R 3'
_symmetry_Int_Tables_number 146
_symmetry_space_group_name_Hall 'R 3'
loop_
_atom_site_label
_atom_site_type_symbol
_atom_site_fract_x
_atom_site_fract_y
_atom_site_fract_z
Ti1 Ti 0.0000 0.0000 0.0000
Ti2 Ti 0.0000 0.0000 0.2133
Ti3 Ti 0.0000 0.0000 0.7090
Mn1 Mn 0.0000 0.0000 0.3597
Mn2 Mn 0.0000 0.0000 0.8559
Co1 Co 0.0000 0.0000 0.4964
P1 P 0.9996 0.2925 0.6026
P2 P 0.0425 0.6699 0.7723
O1 O 0.0037 0.1894 0.6638
O2 O 0.0036 0.2021 0.5414
O3 O 0.0208 0.8383 0.7784
O4 O 0.0234 0.1850 0.2782
O5 O 0.1450 0.6677 0.8332
O6 O 0.1598 0.6893 0.7130
O7 O 0.1636 0.4883 0.6017
O8 O 0.1667 0.6944 0.0957